No. 1
# CeErSb2 | the Alexandria database | PBE-GGA | optimized geometry
# **DOS(E_F)**: 7.37 states/eV per cell
# **E_tot**: -5.651 eV/atom
# **Space group**: R3m (160)
# **Energy relative to the elements, uncorrected**: -0.97 eV/atom
# **E above lowest polymorph**: 104 meV per atom
# **Magnetization**: 0.9 μB/f.u.
data_CeErSb2
_chemical_formula_sum 'Ce1 Er1 Sb2'
_space_group_name_H-M_alt 'P 1'
_space_group_IT_number 1
_cell_length_a 8.010
_cell_length_b 8.010
_cell_length_c 8.010
_cell_angle_alpha 31.54
_cell_angle_beta 31.54
_cell_angle_gamma 31.54
loop_
_space_group_symop_operation_xyz
'x,y,z'
loop_
_atom_site_label
_atom_site_type_symbol
_atom_site_fract_x
_atom_site_fract_y
_atom_site_fract_z
_atom_site_occupancy
Ce1 Ce 0.000 0.000 0.000 1
Er1 Er 0.829 0.829 0.829 1
Sb1 Sb 0.244 0.244 0.244 1
Sb2 Sb 0.419 0.419 0.419 1

---

No. 2
# Rb2CaLaCl6 | the Alexandria database | PBE-GGA | optimized geometry
# **DOS(E_F)**: 14.96 states/eV per cell
# **E_tot**: -4.049 eV/atom
# **Space group**: Fm-3m (225)
# **Energy relative to the elements, uncorrected**: -2.05 eV/atom
# **Magnetization**: 0.8 μB/f.u.
data_Rb2CaLaCl6
_chemical_formula_sum 'Rb2 Ca1 La1 Cl6'
_space_group_name_H-M_alt 'P 1'
_space_group_IT_number 1
_cell_length_a 7.879
_cell_length_b 7.879
_cell_length_c 7.879
_cell_angle_alpha 60.00
_cell_angle_beta 60.00
_cell_angle_gamma 60.00
loop_
_space_group_symop_operation_xyz
'x,y,z'
loop_
_atom_site_label
_atom_site_type_symbol
_atom_site_fract_x
_atom_site_fract_y
_atom_site_fract_z
_atom_site_occupancy
Rb1 Rb 0.250 0.250 0.250 1
Rb2 Rb 0.750 0.750 0.750 1
Ca1 Ca 0.000 0.000 0.000 1
La1 La 0.500 0.500 0.500 1
Cl1 Cl 0.245 0.245 0.755 1
Cl2 Cl 0.245 0.755 0.245 1
Cl3 Cl 0.245 0.755 0.755 1
Cl4 Cl 0.755 0.245 0.245 1
Cl5 Cl 0.755 0.245 0.755 1
Cl6 Cl 0.755 0.755 0.245 1

---

No. 3
# RbReBr4 | the Alexandria database | PBE-GGA | optimized geometry
# **DOS(E_F)**: 3.49 states/eV per cell
# **E_tot**: -4.047 eV/atom
# **Space group**: C2/m (12)
# **Energy relative to the elements, uncorrected**: -0.70 eV/atom
# **Magnetization**: 0.0 μB/f.u.
data_RbReBr4
_chemical_formula_sum 'Rb2 Re2 Br8'
_space_group_name_H-M_alt 'P 1'
_space_group_IT_number 1
_cell_length_a 12.162
_cell_length_b 12.162
_cell_length_c 5.270
_cell_angle_alpha 100.94
_cell_angle_beta 100.94
_cell_angle_gamma 34.38
loop_
_space_group_symop_operation_xyz
'x,y,z'
loop_
_atom_site_label
_atom_site_type_symbol
_atom_site_fract_x
_atom_site_fract_y
_atom_site_fract_z
_atom_site_occupancy
Rb1 Rb 0.203 0.203 0.191 1
Rb2 Rb 0.797 0.797 0.809 1
Re1 Re 0.465 0.465 0.321 1
Re2 Re 0.535 0.535 0.679 1
Br1 Br 0.154 0.643 0.398 1
Br2 Br 0.274 0.726 0.000 1
Br3 Br 0.291 0.291 0.769 1
Br4 Br 0.357 0.846 0.602 1
Br5 Br 0.643 0.154 0.398 1
Br6 Br 0.709 0.709 0.231 1
Br7 Br 0.726 0.274 0.000 1
Br8 Br 0.846 0.357 0.602 1

---

No. 4
# TlNi2Se | the Alexandria database | PBE-GGA | optimized geometry
# **DOS(E_F)**: 3.39 states/eV per cell
# **E_tot**: -4.326 eV/atom
# **Space group**: C2/m (12)
# **Energy relative to the elements, uncorrected**: 0.03 eV/atom
# **E above lowest polymorph**: 6 meV per atom
# **Magnetization**: 0.0 μB/f.u.
data_TlNi2Se
_chemical_formula_sum 'Tl1 Ni2 Se1'
_space_group_name_H-M_alt 'P 1'
_space_group_IT_number 1
_cell_length_a 3.976
_cell_length_b 3.976
_cell_length_c 5.653
_cell_angle_alpha 95.19
_cell_angle_beta 95.19
_cell_angle_gamma 62.31
loop_
_space_group_symop_operation_xyz
'x,y,z'
loop_
_atom_site_label
_atom_site_type_symbol
_atom_site_fract_x
_atom_site_fract_y
_atom_site_fract_z
_atom_site_occupancy
Tl1 Tl 0.000 0.000 0.000 1
Ni1 Ni 0.176 0.176 0.592 1
Ni2 Ni 0.824 0.824 0.408 1
Se1 Se 0.500 0.500 0.500 1

---

No. 5
# CeYEr2S4 | the Alexandria database | PBE-GGA | optimized geometry
# **DOS(E_F)**: 7.42 states/eV per cell
# **E_tot**: -6.748 eV/atom
# **Space group**: P2/m (10)
# **Energy relative to the elements, uncorrected**: -1.99 eV/atom
# **Magnetization**: 0.7 μB/f.u.
data_CeYEr2S4
_chemical_formula_sum 'Ce1 Y1 Er2 S4'
_space_group_name_H-M_alt 'P 1'
_space_group_IT_number 1
_cell_length_a 6.784
_cell_length_b 3.892
_cell_length_c 6.819
_cell_angle_alpha 90.00
_cell_angle_beta 109.16
_cell_angle_gamma 90.00
loop_
_space_group_symop_operation_xyz
'x,y,z'
loop_
_atom_site_label
_atom_site_type_symbol
_atom_site_fract_x
_atom_site_fract_y
_atom_site_fract_z
_atom_site_occupancy
Ce1 Ce 0.000 0.000 0.000 1
Y1 Y 0.500 0.500 0.000 1
Er1 Er 0.000 0.500 0.500 1
Er2 Er 0.500 0.000 0.500 1
S1 S 0.251 0.000 0.742 1
S2 S 0.258 0.500 0.262 1
S3 S 0.742 0.500 0.738 1
S4 S 0.749 0.000 0.258 1

---

No. 6
# La2TlCoCu | the Alexandria database | PBE-GGA | optimized geometry
# **DOS(E_F)**: 4.15 states/eV per cell
# **Calculated formation energy**: -2.6 kJ/mol of atoms
# **E_tot**: -4.712 eV/atom
# **Space group**: P4/mmm (123)
# **E above lowest polymorph**: 67 meV per atom
# **Magnetization**: 0.0 μB/f.u.
data_La2TlCoCu
_chemical_formula_sum 'La2 Tl1 Co1 Cu1'
_space_group_name_H-M_alt 'P 1'
_space_group_IT_number 1
_cell_length_a 5.238
_cell_length_b 5.238
_cell_length_c 4.978
_cell_angle_alpha 90.00
_cell_angle_beta 90.00
_cell_angle_gamma 90.00
loop_
_space_group_symop_operation_xyz
'x,y,z'
loop_
_atom_site_label
_atom_site_type_symbol
_atom_site_fract_x
_atom_site_fract_y
_atom_site_fract_z
_atom_site_occupancy
La1 La 0.000 0.500 0.000 1
La2 La 0.500 0.000 0.000 1
Tl1 Tl 0.000 0.000 0.500 1
Co1 Co 0.000 0.000 0.000 1
Cu1 Cu 0.500 0.500 0.500 1